Below is crystalline NbV2Rh at its relaxed geometry, with properties calculated at the PBE level.

Unit cell a=3.1078 b=4.3516 c=4.3516 alpha=90.00 beta=90.00 gamma=90.00
Sites, in units of the cell vectors:
Nb 0.5000 0.0000 0.0000
Rh 0.5000 0.5000 0.5000
V 0.0000 0.0000 0.5000
V 0.0000 0.5000 0.0000

Calculated values
Energy relative to the elements, eV per atom: -0.209
DOS at the Fermi energy, states/eV/atom: 0.993
Total magnetization, Bohr magnetons per cell: 0.0



Below is crystalline TaTcBr at its relaxed geometry, with properties calculated at the PBE level.

Unit cell a=4.3722 b=4.3722 c=4.3722 alpha=60.00 beta=60.00 gamma=60.00
Sites, in units of the cell vectors:
Tc 0.2500 0.2500 0.2500
Br 0.0000 0.0000 0.0000
Ta 0.5000 0.5000 0.5000

Calculated values
DOS at the Fermi energy, states/eV/atom: 0.968
Total magnetization, Bohr magnetons per cell: 0.0
Formation energy without anion corrections, kJ/mol of atoms: 74.1
Distance to the lowest polymorph of the same formula, meV/atom: 703



Below is crystalline Cu5I3Br12 at its relaxed geometry, with properties calculated at the PBE level.

Unit cell a=14.6964 b=14.6964 c=14.6964 alpha=109.47 beta=109.47 gamma=109.47
Sites, in units of the cell vectors:
I 0.7500 0.3750 0.1250
I 0.8750 0.7500 0.1250
I 0.3750 0.7500 0.6250
I 0.2500 0.1250 0.3750
I 0.8750 0.1250 0.2500
I 0.3750 0.6250 0.2500
I 0.6250 0.3750 0.7500
I 0.1250 0.8750 0.7500
I 0.7500 0.8750 0.6250
I 0.6250 0.2500 0.3750
I 0.1250 0.2500 0.8750
I 0.2500 0.6250 0.8750
Cu 0.1250 0.3750 0.2500
Cu 0.0000 0.5000 0.0000
Cu 0.0000 0.0000 0.0000
Cu 0.3750 0.2500 0.1250
Cu 0.5000 0.0000 0.5000
Cu 0.5000 0.5000 0.0000
Cu 0.1250 0.7500 0.3750
Cu 0.7500 0.1250 0.8750
Cu 0.7500 0.6250 0.3750
Cu 0.3750 0.1250 0.7500
Cu 0.6250 0.8750 0.2500
Cu 0.5000 0.5000 0.5000
Cu 0.5000 0.0000 0.0000
Cu 0.0000 0.0000 0.5000
Cu 0.2500 0.3750 0.6250
Cu 0.2500 0.8750 0.1250
Cu 0.0000 0.5000 0.5000
Cu 0.8750 0.2500 0.6250
Cu 0.6250 0.7500 0.8750
Cu 0.8750 0.6250 0.7500
Br 0.6740 0.1244 0.9977
Br 0.3237 0.4977 0.3733
Br 0.0023 0.3756 0.3260
Br 0.4977 0.1740 0.1244
Br 0.5496 0.6740 0.6763
Br 0.0023 0.6267 0.1763
Br 0.3237 0.8260 0.4504
Br 0.1267 0.9504 0.1244
Br 0.6267 0.0023 0.6763
Br 0.6740 0.5496 0.1763
Br 0.8260 0.5023 0.3756
Br 0.8237 0.8733 0.9977
Br 0.1244 0.6740 0.4977
Br 0.3756 0.3733 0.0496
Br 0.0496 0.8733 0.3756
Br 0.4504 0.1244 0.6267
Br 0.0496 0.1763 0.1740
Br 0.5023 0.6763 0.1267
Br 0.8237 0.9504 0.3260
Br 0.1244 0.4504 0.1267
Br 0.3756 0.0023 0.8260
Br 0.6267 0.6244 0.4504
Br 0.8733 0.8237 0.4977
Br 0.8260 0.3237 0.9504
Br 0.3733 0.3756 0.5496
Br 0.1267 0.1763 0.5023
Br 0.1740 0.6763 0.0496
Br 0.1763 0.0496 0.6740
Br 0.6244 0.9977 0.1740
Br 0.8756 0.5496 0.8733
Br 0.4977 0.3237 0.8733
Br 0.5496 0.8756 0.3733
Br 0.9504 0.8237 0.8260
Br 0.9504 0.1267 0.6244
Br 0.8756 0.3260 0.5023
Br 0.1763 0.1267 0.0023
Br 0.6244 0.6267 0.9504
Br 0.3733 0.9977 0.3237
Br 0.3260 0.4504 0.8237
Br 0.1740 0.4977 0.6244
Br 0.8733 0.0496 0.8756
Br 0.6763 0.1740 0.5496
Br 0.5023 0.8260 0.8756
Br 0.9977 0.3733 0.8237
Br 0.4504 0.3260 0.3237
Br 0.9977 0.6244 0.6740
Br 0.6763 0.5023 0.6267
Br 0.3260 0.8756 0.0023

Calculated values
DOS at the Fermi energy, states/eV/atom: 1.321
Total magnetization, Bohr magnetons per cell: 0.7
Formation energy without anion corrections, kJ/mol of atoms: -2.8



Below is crystalline CoRhSe2 at its relaxed geometry, with properties calculated at the PBE level.

Unit cell a=3.3485 b=3.3478 c=6.3487 alpha=90.00 beta=90.00 gamma=90.00
Sites, in units of the cell vectors:
Co 0.0000 0.0000 0.5078
Rh 0.5000 0.5000 0.7445
Se 0.0000 0.0000 0.8806
Se 0.5000 0.5000 0.3670

Calculated values
DOS at the Fermi energy, states/eV/atom: 0.675
Total magnetization, Bohr magnetons per cell: 0.0
Formation energy without anion corrections, kJ/mol of atoms: -16.7



Below is crystalline CdP2PtO8 at its relaxed geometry, with properties calculated at the PBE level.

Unit cell a=5.1527 b=5.1527 c=6.7116 alpha=90.00 beta=90.00 gamma=120.00
Sites, in units of the cell vectors:
Cd 0.0000 0.0000 0.5000
P 0.3333 0.6667 0.7262
P 0.6667 0.3333 0.2738
Pt 0.0000 0.0000 0.0000
O 0.1650 0.3299 0.7929
O 0.1650 0.8350 0.7929
O 0.6701 0.8350 0.7929
O 0.3299 0.1650 0.2071
O 0.6667 0.3333 0.4980
O 0.3333 0.6667 0.5020
O 0.8350 0.6701 0.2071
O 0.8350 0.1650 0.2071

Calculated values
Total magnetization, Bohr magnetons per cell: 0.0
Formation energy without anion corrections, kJ/mol of atoms: -138.8



Below is crystalline NdPuAs2 at its relaxed geometry, with properties calculated at the PBE level.

Unit cell a=4.2082 b=4.2082 c=7.2580 alpha=73.15 beta=73.15 gamma=60.00
Last column: magnetic moment on the atom in μB.
Sites, in units of the cell vectors:
As 0.2542 0.2542 0.2374  -0.10
As 0.7458 0.7458 0.7626  -0.10
Nd 0.5000 0.5000 0.5000  0.01
Pu 0.0000 0.0000 0.0000  5.01

Calculated values
Energy relative to the elements, eV per atom: -1.262
DOS at the Fermi energy, states/eV/atom: 2.800
Total magnetization, Bohr magnetons per cell: 4.9
Distance to the lowest polymorph of the same formula, meV/atom: 0



Below is crystalline Rb2CoBiRh at its relaxed geometry, with properties calculated at the PBE level.

Unit cell a=7.0943 b=5.0405 c=7.0943 alpha=90.00 beta=90.00 gamma=90.00
Last column: magnetic moment on the atom in μB.
Sites, in units of the cell vectors:
Co 0.5000 0.5000 0.5000  2.35
Rh 0.0000 0.5000 0.0000  0.10
Bi 0.0000 0.0000 0.0000  -0.01
Rb 0.0000 0.0000 0.5000  0.00
Rb 0.5000 0.0000 0.0000  0.00

Calculated values
Energy relative to the elements, eV per atom: 1.026
DOS at the Fermi energy, states/eV/atom: 4.829
Total magnetization, Bohr magnetons per cell: 2.5



Below is crystalline BaSm2UN4 at its relaxed geometry, with properties calculated at the PBE level.

Unit cell a=7.3296 b=7.3296 c=7.1741 alpha=119.30 beta=119.30 gamma=91.20
Last column: magnetic moment on the atom in μB.
Sites, in units of the cell vectors:
Ba 0.0000 0.5000 0.0000  0.04
Ba 0.0000 0.5000 0.5000  0.04
Sm 0.5000 0.0000 0.0000  0.02
Sm 0.5000 0.0000 0.5000  0.02
Sm 0.0000 0.0000 0.5000  0.11
Sm 0.5000 0.5000 0.0000  0.11
U 0.5000 0.5000 0.5000  0.86
U 0.0000 0.0000 0.0000  0.86
N 0.2277 0.8228 0.0253  -0.03
N 0.6771 0.2723 0.4747  -0.03
N 0.3228 0.7277 0.5253  -0.03
N 0.7723 0.1772 0.9747  -0.03
N 0.7376 0.7624 0.9893  -0.04
N 0.7376 0.7624 0.5107  -0.04
N 0.2624 0.2376 0.4893  -0.04
N 0.2624 0.2376 0.0107  -0.04

Calculated values
DOS at the Fermi energy, states/eV/atom: 0.615
Total magnetization, Bohr magnetons per cell: 2.3
Formation energy without anion corrections, kJ/mol of atoms: -107.0